(1)
{
  "formula": "Li4ZnPb2Au",
  "functional": "PBE",
  "state": "relaxed",
  "cell": [[-4.343, -1.441, 1.080], [0.662, -3.901, -2.540], [2.356, -3.088, 5.358]],
  "species": ["Zn", "Pb", "Pb", "Au", "Li", "Li", "Li", "Li"],
  "fractional_positions": [[0.500, 0.500, 0.500], [0.000, 0.500, 0.257], [0.500, 0.000, 0.743], [0.000, 0.000, 0.000], [0.500, 0.500, 0.000], [0.000, 0.000, 0.500], [0.000, 0.500, 0.760], [0.500, 0.000, 0.240]],
  "space_group": "No. 115",
  "energy_ev_per_atom": -2.77
}

---

(2)
{
  "formula": "Li2Al2Zn2PdPt",
  "functional": "PBE",
  "state": "relaxed",
  "cell": [[4.308, 0.000, 0.000], [0.000, 4.308, 0.000], [0.000, 0.000, 6.072]],
  "species": ["Al", "Al", "Zn", "Zn", "Li", "Li", "Pd", "Pt"],
  "fractional_positions": [[0.500, 0.000, 0.747], [0.000, 0.500, 0.253], [0.000, 0.500, 0.752], [0.500, 0.000, 0.248], [0.500, 0.500, 0.000], [0.000, 0.000, 0.500], [0.000, 0.000, 0.000], [0.500, 0.500, 0.500]],
  "space_group": "No. 115",
  "total_magnetization_mub_per_fu": 0.00,
  "energy_ev_per_atom": -3.75
}

---

(3)
{
  "formula": "MgCdAu2",
  "functional": "PBE",
  "state": "relaxed",
  "cell": [[3.340, 0.000, 0.000], [0.000, 3.340, 0.000], [0.000, 0.000, 6.699]],
  "species": ["Au", "Au", "Cd", "Mg"],
  "fractional_positions": [[0.500, 0.500, 0.269], [0.500, 0.500, 0.731], [0.000, 0.000, 0.000], [0.000, 0.000, 0.500]],
  "space_group": "No. 123",
  "energy_ev_per_atom": -2.67
}

---

(4)
{
  "formula": "Ac3Zn4",
  "functional": "PBE",
  "state": "relaxed",
  "cell": [[5.953, 6.875, 0.000], [-2.977, 8.594, 0.000], [0.000, 0.000, 5.695]],
  "species": ["Ac", "Ac", "Ac", "Ac", "Ac", "Ac", "Zn", "Zn", "Zn", "Zn", "Zn", "Zn", "Zn", "Zn"],
  "fractional_positions": [[0.180, 0.844, 0.500], [0.405, 0.915, 0.000], [0.772, 0.394, 0.000], [0.547, 0.323, 0.500], [0.701, 0.690, 0.500], [0.251, 0.548, 0.000], [0.972, 0.974, 0.000], [0.327, 0.123, 0.500], [0.809, 0.952, 0.500], [0.625, 0.115, 0.000], [0.980, 0.264, 0.500], [0.143, 0.286, 0.000], [0.121, 0.470, 0.500], [0.832, 0.768, 0.000]],
  "space_group": "No. 176",
  "formation_energy_ev_per_atom": 0.0246,
  "total_magnetization_mub_per_fu": 0.03
}

---

(5)
{
  "formula": "Li2Hf2Al2IrPd",
  "functional": "PBE",
  "state": "relaxed",
  "cell": [[4.458, 0.000, 0.000], [0.000, 4.458, 0.000], [0.000, 0.000, 6.305]],
  "species": ["Ir", "Pd", "Li", "Li", "Hf", "Hf", "Al", "Al"],
  "fractional_positions": [[0.000, 0.000, 0.000], [0.500, 0.500, 0.500], [0.000, 0.000, 0.500], [0.500, 0.500, 0.000], [0.500, 0.000, 0.247], [0.000, 0.500, 0.753], [0.000, 0.500, 0.243], [0.500, 0.000, 0.757]],
  "space_group": "No. 115",
  "total_magnetization_mub_per_fu": 0.02,
  "energy_ev_per_atom": -6.33
}

---

(6)
{
  "formula": "CoReSiAu",
  "functional": "PBE",
  "state": "relaxed",
  "cell": [[0.000, 3.040, 3.040], [3.040, 0.000, 3.040], [3.040, 3.040, 0.000]],
  "species": ["Co", "Re", "Si", "Au"],
  "fractional_positions": [[0.750, 0.750, 0.750], [0.250, 0.250, 0.250], [0.000, 0.000, 0.000], [0.500, 0.500, 0.500]],
  "space_group": "No. 216",
  "total_magnetization_mub_per_fu": 1.20,
  "energy_ev_per_atom": -6.72
}

---

(7)
{
  "formula": "Na2In4NiAg",
  "functional": "PBE",
  "state": "relaxed",
  "cell": [[-5.489, 1.117, -5.815], [-1.258, 5.056, 2.158], [1.931, 5.235, -0.817]],
  "species": ["In", "In", "In", "In", "Na", "Na", "Ag", "Ni"],
  "fractional_positions": [[0.216, 0.855, 0.855], [0.784, 0.855, 0.855], [0.315, 0.145, 0.145], [0.685, 0.145, 0.145], [0.500, 0.436, 0.436], [0.000, 0.567, 0.567], [0.000, 0.280, 0.280], [0.500, 0.718, 0.718]],
  "space_group": "No. 38",
  "total_magnetization_mub_per_fu": 0.00,
  "energy_ev_per_atom": -2.85
}

---

(8)
{
  "formula": "NaLaCoSb",
  "functional": "PBE",
  "state": "relaxed",
  "cell": [[0.000, 3.439, 3.439], [3.439, 0.000, 3.439], [3.439, 3.439, 0.000]],
  "species": ["Na", "Co", "La", "Sb"],
  "fractional_positions": [[0.750, 0.750, 0.750], [0.250, 0.250, 0.250], [0.500, 0.500, 0.500], [0.000, 0.000, 0.000]],
  "space_group": "No. 216",
  "total_magnetization_mub_per_fu": 0.01,
  "energy_ev_per_atom": -4.60
}

---

(9)
{
  "formula": "HfCu2TeSeS",
  "functional": "PBE",
  "state": "relaxed",
  "cell": [[-3.036, 8.319, 4.155], [-6.252, 6.145, 4.340], [2.295, -2.899, 5.814]],
  "species": ["Te", "Te", "Hf", "Hf", "Se", "Se", "S", "S", "Cu", "Cu", "Cu", "Cu"],
  "fractional_positions": [[0.912, 0.912, 0.190], [0.088, 0.088, 0.810], [0.659, 0.659, 0.067], [0.341, 0.341, 0.933], [0.584, 0.584, 0.357], [0.416, 0.416, 0.643], [0.244, 0.244, 0.208], [0.756, 0.756, 0.792], [0.704, 0.704, 0.486], [0.952, 0.952, 0.843], [0.048, 0.048, 0.157], [0.296, 0.296, 0.514]],
  "space_group": "No. 12",
  "total_magnetization_mub_per_fu": 0.00,
  "energy_ev_per_atom": -5.35
}

---

(10)
{
  "formula": "PaGaCl6",
  "functional": "PBE",
  "state": "relaxed",
  "cell": [[-4.725, 3.454, 3.759], [-0.069, -0.630, 6.927], [2.385, 5.860, 4.049]],
  "species": ["Cl", "Cl", "Cl", "Cl", "Cl", "Cl", "Ga", "Pa"],
  "fractional_positions": [[0.926, 0.221, 0.233], [0.620, 0.926, 0.233], [0.074, 0.779, 0.767], [0.221, 0.620, 0.233], [0.380, 0.074, 0.767], [0.779, 0.380, 0.767], [0.500, 0.500, 0.500], [0.000, 0.000, 0.000]],
  "space_group": "No. 148",
  "total_magnetization_mub_per_fu": 0.00,
  "energy_ev_per_atom": -4.54
}

---

(11)
{
  "formula": "SrZnSO",
  "functional": "PBE",
  "state": "relaxed",
  "cell": [[-2.050, 6.537, -1.526], [-3.119, 5.897, 2.184], [5.281, 2.096, 1.884]],
  "species": ["O", "O", "Zn", "Zn", "S", "S", "Sr", "Sr"],
  "fractional_positions": [[0.056, 0.056, 0.560], [0.944, 0.944, 0.060], [0.932, 0.932, 0.393], [0.068, 0.068, 0.893], [0.668, 0.668, 0.971], [0.332, 0.332, 0.471], [0.348, 0.348, 0.968], [0.652, 0.652, 0.468]],
  "space_group": "No. 36",
  "energy_ev_per_atom": -4.83
}

---

(12)
{
  "formula": "Zr4InGeC2",
  "functional": "PBE",
  "state": "relaxed",
  "cell": [[3.360, 0.000, 0.000], [-1.680, 2.910, 0.000], [0.000, 0.000, 14.435]],
  "species": ["In", "Ge", "C", "C", "Zr", "Zr", "Zr", "Zr"],
  "fractional_positions": [[0.667, 0.333, 0.500], [0.000, 0.000, 0.000], [0.333, 0.667, 0.240], [0.333, 0.667, 0.760], [0.000, 0.000, 0.326], [0.667, 0.333, 0.848], [0.667, 0.333, 0.152], [0.000, 0.000, 0.674]],
  "space_group": "No. 187",
  "total_magnetization_mub_per_fu": 0.00,
  "energy_ev_per_atom": -8.25
}

---

(13)
{
  "formula": "CsSmAsO",
  "functional": "PBE",
  "state": "relaxed",
  "cell": [[-0.366, -2.827, -2.195], [7.578, -2.614, 2.104], [-3.317, -4.503, 6.353]],
  "species": ["As", "As", "O", "O", "Cs", "Cs", "Sm", "Sm"],
  "fractional_positions": [[0.000, 0.188, 0.804], [0.000, 0.812, 0.304], [0.500, 0.745, 0.893], [0.500, 0.255, 0.393], [0.500, 0.564, 0.596], [0.500, 0.436, 0.096], [0.000, 0.872, 0.961], [0.000, 0.128, 0.461]],
  "space_group": "No. 26",
  "total_magnetization_mub_per_fu": 0.00,
  "energy_ev_per_atom": -5.28
}

---

(14)
{
  "formula": "TlIr17",
  "functional": "PBE",
  "state": "relaxed",
  "cell": [[-4.408, 1.646, 0.295], [0.015, -0.922, 5.375], [11.910, 30.753, 5.239]],
  "species": ["Ir", "Ir", "Ir", "Ir", "Ir", "Ir", "Ir", "Ir", "Ir", "Ir", "Ir", "Ir", "Ir", "Ir", "Ir", "Ir", "Ir", "Ir", "Ir", "Ir", "Ir", "Ir", "Ir", "Ir", "Ir", "Ir", "Ir", "Ir", "Ir", "Ir", "Ir", "Ir", "Ir", "Ir", "Tl", "Tl"],
  "fractional_positions": [[0.335, 0.500, 0.634], [0.500, 0.750, 0.500], [0.833, 0.250, 0.433], [0.000, 0.500, 0.299], [0.667, 0.500, 0.567], [0.166, 0.752, 0.766], [0.669, 0.500, 0.366], [0.834, 0.252, 0.234], [0.665, 0.000, 0.366], [0.500, 0.250, 0.500], [0.331, 0.000, 0.634], [0.167, 0.250, 0.567], [0.167, 0.750, 0.366], [0.499, 0.247, 0.299], [0.666, 0.000, 0.567], [0.000, 0.000, 0.701], [0.833, 0.750, 0.433], [0.334, 0.500, 0.433], [0.998, 0.500, 0.702], [0.002, 0.000, 0.298], [0.501, 0.253, 0.701], [0.167, 0.750, 0.567], [0.501, 0.747, 0.701], [0.834, 0.748, 0.234], [0.333, 0.000, 0.433], [0.000, 0.000, 0.500], [0.333, 0.500, 0.234], [0.167, 0.250, 0.366], [0.833, 0.250, 0.634], [0.499, 0.753, 0.299], [0.000, 0.500, 0.500], [0.667, 0.000, 0.767], [0.833, 0.750, 0.634], [0.166, 0.248, 0.766], [0.667, 0.500, 0.797], [0.333, 0.000, 0.203]],
  "space_group": "No. 11",
  "total_magnetization_mub_per_fu": 0.00,
  "energy_ev_per_atom": -8.33
}

---

(15)
{
  "formula": "Tm3Mg3Zn2In",
  "functional": "PBE",
  "state": "relaxed",
  "cell": [[7.216, 0.000, 0.000], [-3.608, 6.249, 0.000], [0.000, 0.000, 4.584]],
  "species": ["Zn", "Zn", "Mg", "Mg", "Mg", "Tm", "Tm", "Tm", "In"],
  "fractional_positions": [[0.333, 0.667, 0.500], [0.667, 0.333, 0.500], [0.250, 0.250, 0.500], [0.750, 0.000, 0.500], [0.000, 0.750, 0.500], [0.564, 0.564, 0.000], [0.000, 0.436, 0.000], [0.436, 0.000, 0.000], [0.000, 0.000, 0.000]],
  "space_group": "No. 189",
  "total_magnetization_mub_per_fu": 0.02,
  "energy_ev_per_atom": -2.86
}

---

(16)
{
  "formula": "KBa3Ir",
  "functional": "PBE",
  "state": "relaxed",
  "cell": [[-4.408, -4.536, 0.166], [1.832, -1.990, -5.720], [4.153, -3.937, 2.700]],
  "species": ["Ba", "Ba", "Ba", "Ir", "K"],
  "fractional_positions": [[0.500, 0.000, 0.000], [0.000, 0.000, 0.500], [0.000, 0.500, 0.000], [0.000, 0.000, 0.000], [0.500, 0.500, 0.500]],
  "space_group": "No. 221",
  "total_magnetization_mub_per_fu": 0.14,
  "energy_ev_per_atom": -3.20
}

---

(17)
{
  "formula": "LiLuHgSe3",
  "functional": "PBE",
  "state": "relaxed",
  "cell": [[11.039, 0.000, 0.000], [0.000, 6.657, 2.013], [0.000, -6.657, 2.013]],
  "species": ["Se", "Se", "Se", "Se", "Se", "Se", "Lu", "Lu", "Hg", "Hg", "Li", "Li"],
  "fractional_positions": [[0.556, 0.358, 0.642], [0.444, 0.642, 0.358], [0.250, 0.895, 0.105], [0.944, 0.358, 0.642], [0.056, 0.642, 0.358], [0.750, 0.105, 0.895], [0.000, 0.000, 0.000], [0.500, 0.000, 0.000], [0.750, 0.470, 0.530], [0.250, 0.530, 0.470], [0.750, 0.767, 0.233], [0.250, 0.233, 0.767]],
  "space_group": "No. 63",
  "total_magnetization_mub_per_fu": 0.00,
  "energy_ev_per_atom": -3.88
}

---

(18)
{
  "formula": "RbTaBePt",
  "functional": "PBE",
  "state": "relaxed",
  "cell": [[3.271, -2.516, 2.121], [-1.214, -3.407, 2.905], [0.669, -4.428, -1.210]],
  "species": ["Ta", "Pt", "Rb", "Be"],
  "fractional_positions": [[0.250, 0.250, 0.250], [0.000, 0.000, 0.000], [0.500, 0.500, 0.500], [0.750, 0.750, 0.750]],
  "space_group": "No. 216",
  "total_magnetization_mub_per_fu": 0.00,
  "energy_ev_per_atom": -4.69
}

---

(19)
{
  "formula": "BaLiNbTe3",
  "functional": "PBE",
  "state": "relaxed",
  "cell": [[2.245, -7.281, 0.000], [2.245, 7.281, 0.000], [0.000, 0.000, 10.787]],
  "species": ["Ba", "Ba", "Li", "Li", "Nb", "Nb", "Te", "Te", "Te", "Te", "Te", "Te"],
  "fractional_positions": [[0.262, 0.738, 0.250], [0.738, 0.262, 0.750], [0.978, 0.022, 0.250], [0.022, 0.978, 0.750], [0.500, 0.500, 0.500], [0.500, 0.500, 0.000], [0.127, 0.873, 0.544], [0.873, 0.127, 0.456], [0.127, 0.873, 0.956], [0.424, 0.576, 0.750], [0.873, 0.127, 0.044], [0.576, 0.424, 0.250]],
  "space_group": "No. 63",
  "total_magnetization_mub_per_fu": 2.00,
  "energy_ev_per_atom": -4.75
}

---

(20)
{
  "formula": "TlAgSnS3",
  "functional": "PBE",
  "state": "relaxed",
  "cell": [[14.142, 0.000, 0.000], [0.000, 3.888, 0.000], [0.000, 0.000, 10.706]],
  "species": ["Sn", "Sn", "Sn", "Sn", "Ag", "Ag", "Ag", "Ag", "S", "S", "S", "S", "S", "S", "S", "S", "S", "S", "S", "S", "Tl", "Tl", "Tl", "Tl"],
  "fractional_positions": [[0.042, 0.750, 0.144], [0.958, 0.250, 0.856], [0.458, 0.250, 0.644], [0.542, 0.750, 0.356], [0.197, 0.750, 0.733], [0.697, 0.750, 0.767], [0.803, 0.250, 0.267], [0.303, 0.250, 0.233], [0.193, 0.750, 0.269], [0.893, 0.750, 0.003], [0.693, 0.750, 0.231], [0.307, 0.250, 0.769], [0.525, 0.750, 0.785], [0.807, 0.250, 0.731], [0.107, 0.250, 0.997], [0.607, 0.250, 0.503], [0.393, 0.750, 0.497], [0.025, 0.750, 0.715], [0.975, 0.250, 0.285], [0.475, 0.250, 0.215], [0.643, 0.250, 0.021], [0.357, 0.750, 0.979], [0.143, 0.250, 0.479], [0.857, 0.750, 0.521]],
  "space_group": "No. 62",
  "energy_ev_per_atom": -3.91
}

---

(21)
{
  "formula": "Al2CoSb",
  "functional": "PBE",
  "state": "relaxed",
  "cell": [[4.493, -0.642, -0.119], [1.765, -3.953, 1.369], [1.806, -2.852, -3.036]],
  "species": ["Co", "Sb", "Al", "Al"],
  "fractional_positions": [[0.250, 0.250, 0.250], [0.500, 0.500, 0.500], [0.000, 0.000, 0.000], [0.750, 0.750, 0.750]],
  "space_group": "No. 216",
  "total_magnetization_mub_per_fu": 0.08,
  "energy_ev_per_atom": -4.42
}

---

(22)
{
  "formula": "HoErSb",
  "functional": "PBE",
  "state": "relaxed",
  "cell": [[0.000, 3.555, 3.555], [3.555, 0.000, 3.555], [3.555, 3.555, 0.000]],
  "species": ["Sb", "Ho", "Er"],
  "fractional_positions": [[0.000, 0.000, 0.000], [0.750, 0.750, 0.750], [0.250, 0.250, 0.250]],
  "space_group": "No. 216",
  "total_magnetization_mub_per_fu": 0.07,
  "energy_ev_per_atom": -4.90
}

---

(23)
{
  "formula": "CsSiPt",
  "functional": "PBE",
  "state": "relaxed",
  "cell": [[0.000, 3.520, 3.520], [3.520, 0.000, 3.520], [3.520, 3.520, 0.000]],
  "species": ["Pt", "Si", "Cs"],
  "fractional_positions": [[0.000, 0.000, 0.000], [0.750, 0.750, 0.750], [0.250, 0.250, 0.250]],
  "space_group": "No. 216",
  "total_magnetization_mub_per_fu": 0.00,
  "energy_ev_per_atom": -3.31
}